Here is Ba2Ga2BIr2 after structural relaxation from the Alexandria database. Energies are from PBE.

Energy of formation, eV/atom: -0.494

Cell lengths 6.4473, 6.4473, 8.0755 Å; angles 126.34, 126.34, 40.90 degrees
Fractional coordinates of all 7 atoms:
Ba 0.0644 0.0644 0.3155
Ba 0.9356 0.9356 0.6845
Ga 0.3011 0.3011 0.2252
Ga 0.6989 0.6989 0.7748
B 0.5000 0.5000 0.0000
Ir 0.3098 0.3098 0.9191
Ir 0.6902 0.6902 0.0809



Here is Tb3Pt4Au after structural relaxation from the Alexandria database. Energies are from PBE.

Energy of formation, eV/atom: -0.969

Cell lengths 7.9672, 7.9672, 7.9672 Å; angles 151.92, 129.76, 58.54 degrees
Fractional coordinates of all 8 atoms:
Tb 0.0000 0.0000 0.0000
Tb 0.3203 0.8203 0.5000
Tb 0.6797 0.1797 0.5000
Pt 0.0661 0.3704 0.6957
Pt 0.3253 0.6296 0.6957
Pt 0.6747 0.3704 0.3043
Pt 0.9339 0.6296 0.3043
Au 0.5000 0.5000 0.0000



Here is Pa2CrH after structural relaxation from the Alexandria database. Energies are from PBE.

Cell lengths 8.1758, 8.1758, 8.1758 Å; angles 21.96, 21.96, 21.96 degrees
Fractional coordinates of all 4 atoms:
Pa 0.0979 0.0979 0.0979
Pa 0.9021 0.9021 0.9021
Cr 0.0000 0.0000 0.0000
H 0.5000 0.5000 0.5000



Here is LaInRh2 after structural relaxation from the Alexandria database. Energies are from PBE.

Energy of formation, eV/atom: -0.438

Cell lengths 3.8531, 3.8531, 5.6369 Å; angles 90.00, 90.00, 90.00 degrees
Fractional coordinates of all 4 atoms:
La 0.0000 0.0000 0.0000
In 0.5000 0.5000 0.6298
Rh 0.0000 0.0000 0.4829
Rh 0.5000 0.5000 0.1485



Here is BaInFe after structural relaxation from the Alexandria database. Energies are from PBE.

Energy of formation, eV/atom: 1.035

Cell lengths 5.4242, 5.4242, 5.4242 Å; angles 60.00, 60.00, 60.00 degrees
Fractional coordinates of all 3 atoms:
Ba 0.0000 0.0000 0.0000
In 0.2500 0.2500 0.2500
Fe 0.7500 0.7500 0.7500



Here is AcTmCoCu after structural relaxation from the Alexandria database. Energies are from PBE.

Energy of formation, eV/atom: -0.009

Cell lengths 5.0173, 5.0173, 5.0173 Å; angles 60.00, 60.00, 60.00 degrees
Fractional coordinates of all 4 atoms:
Ac 0.0000 0.0000 0.0000
Tm 0.5000 0.5000 0.5000
Co 0.2500 0.2500 0.2500
Cu 0.7500 0.7500 0.7500



Here is RbLi3Sb after structural relaxation from the Alexandria database. Energies are from PBE.

E_form (uncorrected), eV/atom: 0.6162

Cell lengths 5.2633, 5.2633, 5.2633 Å; angles 90.00, 90.00, 90.00 degrees
Fractional coordinates of all 5 atoms:
Rb 0.0000 0.0000 0.0000
Li 0.0000 0.0000 0.5000
Li 0.0000 0.5000 0.0000
Li 0.5000 0.0000 0.0000
Sb 0.5000 0.5000 0.5000



Here is Li2MnCuH6 after structural relaxation from the Alexandria database. Energies are from PBE.

Cell lengths 4.4495, 4.4945, 4.8836 Å; angles 62.61, 63.09, 89.98 degrees
Fractional coordinates of all 10 atoms:
Li 0.0000 0.0000 0.0000
Li 0.4557 0.4899 0.0188
Mn 0.2101 0.7486 0.4998
Cu 0.7320 0.2096 0.5787
H 0.0562 0.5846 0.3340
H 0.0584 0.0805 0.3335
H 0.4338 0.4559 0.5994
H 0.4362 0.9408 0.5979
H 0.5394 0.9669 0.0582
H 0.9385 0.5328 0.9289



| no. | D(E_F) (states/eV per atom) | total DFT energy (no corrections) (eV per atom) |
| --- | --- | --- |
| 1 | 0.53 | -5.394 |
| 2 | 0.39 | -6.135 |
| 3 | 1.06 | -7.642 |
| 4 | 0.32 | -6.030 |
| 5 | 1.78 | -3.339 |
| 6 | 1.03 | -4.955 |
| 7 | 0.39 | -1.550 |
| 8 | 0.29 | -3.789 |